# PBE Gd2TlBi, relaxed
# **Relative energy among the computed polymorphs**: 0 meV per atom
data_Gd2TlBi
_chemical_formula_sum 'Gd2 Tl1 Bi1'
_space_group_name_H-M_alt 'P 4/m m m'
_space_group_IT_number 123
_space_group_name_Hall '-P 4 2'
_cell_length_a 4.0660
_cell_length_b 4.0660
_cell_length_c 7.0134
_cell_angle_alpha 90.00
_cell_angle_beta 90.00
_cell_angle_gamma 90.00
loop_
_atom_site_label
_atom_site_type_symbol
_atom_site_fract_x
_atom_site_fract_y
_atom_site_fract_z
Gd1 Gd 0.0000 0.0000 0.2469
Tl1 Tl 0.5000 0.5000 0.5000
Bi1 Bi 0.5000 0.5000 0.0000



# PBE KRbTiI6, relaxed
# **E_form (uncorrected)**: -97.96 kJ/mol of atoms
data_KRbTiI6
_chemical_formula_sum 'K1 Rb1 Ti1 I6'
_space_group_name_H-M_alt 'P 3 1 2'
_space_group_IT_number 149
_space_group_name_Hall 'P 3 2'
_cell_length_a 8.4742
_cell_length_b 8.4742
_cell_length_c 7.2702
_cell_angle_alpha 90.00
_cell_angle_beta 90.00
_cell_angle_gamma 120.00
loop_
_atom_site_label
_atom_site_type_symbol
_atom_site_fract_x
_atom_site_fract_y
_atom_site_fract_z
K1 K 0.0000 0.0000 0.0000
Rb1 Rb 0.6667 0.3333 0.5000
Ti1 Ti 0.3333 0.6667 0.0000
I1 I 0.0696 0.3985 0.2230



# PBE NaZnAs3, relaxed
# **Relative energy among the computed polymorphs**: 0 meV per atom
data_NaZnAs3
_chemical_formula_sum 'Na1 Zn1 As3'
_space_group_name_H-M_alt 'P m -3 m'
_space_group_IT_number 221
_space_group_name_Hall '-P 4 2 3'
_cell_length_a 4.9534
_cell_length_b 4.9534
_cell_length_c 4.9534
_cell_angle_alpha 90.00
_cell_angle_beta 90.00
_cell_angle_gamma 90.00
loop_
_atom_site_label
_atom_site_type_symbol
_atom_site_fract_x
_atom_site_fract_y
_atom_site_fract_z
Na1 Na 0.0000 0.0000 0.0000
Zn1 Zn 0.5000 0.5000 0.5000
As1 As 0.0000 0.5000 0.5000



# PBE Ca2ErThAs4, relaxed
# **DFT total energy**: -0.205 hartree per atom
data_Ca2ErThAs4
_chemical_formula_sum 'Ca2 Er1 Th1 As4'
_space_group_name_H-M_alt 'P 1 2/m 1'
_space_group_IT_number 10
_space_group_name_Hall '-P 2y'
_cell_length_a 7.2866
_cell_length_b 4.2451
_cell_length_c 7.3242
_cell_angle_alpha 90.00
_cell_angle_beta 109.59
_cell_angle_gamma 90.00
loop_
_atom_site_label
_atom_site_type_symbol
_atom_site_fract_x
_atom_site_fract_y
_atom_site_fract_z
Ca1 Ca 0.0000 0.0000 0.0000
Ca2 Ca 0.5000 0.5000 0.0000
Er1 Er 0.0000 0.5000 0.5000
Th1 Th 0.5000 0.0000 0.5000
As1 As 0.2410 0.0000 0.7372
As2 As 0.2481 0.5000 0.2592



Results for volume: 28.99, 50.24, 24.31, 26.68 (in A^3/atom, following the order of the records).